No. 1
# MnCu2Ni6

A relaxed structure of MnCu2Ni6 (PBE, Alexandria).

As for the formation energy: 0.009 eV/atom. The raw total energy is -5.77 eV per atom. Its relative energy among the computed polymorphs is 0.0 meV per atom. The total magnetization comes out at 6.29 μB per formula unit. As for the symmetry: P-1, No. 2. The value obtained for the density of states at the Fermi level is 13.6 states/eV/f.u.

Cell: 4.3585 4.3667 6.3504 Å, 96.59 96.63 119.94°
Positions (direct):
1 Mn 0.0000 0.0000 0.0000
2 Cu 0.4503 0.1126 0.3343
3 Cu 0.5497 0.8874 0.6657
4 Ni 0.1108 0.4447 0.3304
5 Ni 0.2214 0.2253 0.6667
6 Ni 0.3333 0.6653 0.0006
7 Ni 0.6667 0.3347 0.9994
8 Ni 0.7786 0.7747 0.3333
9 Ni 0.8892 0.5553 0.6696

No. 2
# MnCu3Ni7

A relaxed structure of MnCu3Ni7 (PBE, Alexandria).

As for the formation energy: 0.344 eV/atom. The raw total energy is -5.29 eV per atom. The total magnetization comes out at 6.42 μB per formula unit. As for the symmetry: C2/m, No. 12. The value obtained for the density of states at the Fermi level is 15.6 states/eV/f.u.

Cell: 5.8271 5.8271 4.4568 Å, 107.25 107.25 89.66°
Positions (direct):
1 Mn 0.0000 0.0000 0.0000
2 Cu 0.2915 0.7085 0.5000
3 Cu 0.5000 0.5000 0.0000
4 Cu 0.7085 0.2915 0.5000
5 Ni 0.0000 0.0000 0.5000
6 Ni 0.0815 0.5657 0.8242
7 Ni 0.2825 0.2825 0.4456
8 Ni 0.4343 0.9185 0.1758
9 Ni 0.5657 0.0815 0.8242
10 Ni 0.7175 0.7175 0.5544
11 Ni 0.9185 0.4343 0.1758

No. 3
# MnCu2Ni8

A relaxed structure of MnCu2Ni8 (PBE, Alexandria).

As for the formation energy: 0.178 eV/atom. The raw total energy is -5.61 eV per atom. Its relative energy among the computed polymorphs is 0.0 meV per atom. The total magnetization comes out at 8.00 μB per formula unit. As for the symmetry: C2/m, No. 12. The value obtained for the density of states at the Fermi level is 15.9 states/eV/f.u.

Cell: 6.9995 6.9995 4.3032 Å, 107.68 107.68 124.65°
Positions (direct):
1 Mn 0.0000 0.0000 0.0000
2 Cu 0.3168 0.6832 0.5000
3 Cu 0.6832 0.3168 0.5000
4 Ni 0.1015 0.3705 0.7281
5 Ni 0.1988 0.8012 0.0000
6 Ni 0.3705 0.1015 0.7281
7 Ni 0.4733 0.4733 0.2284
8 Ni 0.5267 0.5267 0.7716
9 Ni 0.6295 0.8985 0.2719
10 Ni 0.8012 0.1988 0.0000
11 Ni 0.8985 0.6295 0.2719